First-principles (PBE) data for NdMo2Os2 after structural relaxation, as listed in Alexandria via LeMat-Bulk.

Unit cell a=4.3756 b=4.3756 c=10.4240 alpha=90.00 beta=90.00 gamma=90.00
With the nearest neighbours (Å) after each atom.
Space group I4/mmm (No. 139)
Unique sites:
1 Nd 0.0000 0.0000 0.0000 x2  8 Os 3.36, 8 Mo 3.40
2 Mo 0.0000 0.5000 0.2500 x4  4 Os 2.54
3 Os 0.0000 0.0000 0.3742 x4  4 Mo 2.54, 1 Os 2.62

Values from the calculation:
Total moment ... 0.00 μB/cell
Total energy ... -9.819 eV per atom
Energy relative to the elements ... -0.04 eV per atom



First-principles (PBE) data for NdMoP2 after structural relaxation, as listed in Alexandria via LeMat-Bulk.

Unit cell a=4.2596 b=4.2596 c=22.8111 alpha=90.00 beta=90.00 gamma=120.00
With the nearest neighbours (Å) after each atom.
Space group R-3m (No. 166, hexagonal axes)
Unique sites:
1 Nd 0.0000 0.0000 0.0000 x3  6 P 2.88
2 Mo 0.0000 0.0000 0.5000 x3  2 P 2.30
3 P 0.0000 0.0000 0.3991 x6  1 Mo 2.30

Values from the calculation:
Total moment ... 7.50 μB/cell
Total energy ... -6.225 eV per atom
Energy relative to the elements ... 0.38 eV per atom



First-principles (PBE) data for NdPaMo after structural relaxation, as listed in Alexandria via LeMat-Bulk.

Unit cell a=4.3227 b=4.3227 c=11.7133 alpha=90.00 beta=90.00 gamma=120.00
With the nearest neighbours (Å) after each atom.
Space group P-3m1 (No. 164)
Unique sites:
1 Nd 0.0000 0.0000 0.1703 x2  3 Mo 3.16
2 Pa 0.3333 0.6667 0.6037 x2  3 Mo 2.59
3 Mo 0.3333 0.6667 0.3361 x2  3 Pa 2.59

Values from the calculation:
Total moment ... 0.60 μB/cell
Total energy ... -7.964 eV per atom
Energy relative to the elements ... 0.40 eV per atom



First-principles (PBE) data for NdPaMo4 after structural relaxation, as listed in Alexandria via LeMat-Bulk.

Unit cell a=7.8409 b=7.8409 c=7.8409 alpha=90.00 beta=90.00 gamma=90.00
With the nearest neighbours (Å) after each atom.
Space group F-43m (No. 216)
Unique sites:
1 Nd 0.0000 0.0000 0.0000 x4  12 Mo 3.25, 4 Pa 3.40
2 Pa 0.2500 0.2500 0.7500 x4  12 Mo 3.25, 4 Nd 3.40
3 Mo 0.1246 0.1246 0.3754 x16  6 Mo 2.76-2.78

Values from the calculation:
Total moment ... 0.00 μB/cell
Total energy ... -9.406 eV per atom
Energy relative to the elements ... 0.19 eV per atom